Compound: EuDy2
Source: Alexandria
Functional: GGA-PBE
Structure: optimized geometry

Structure (extended XYZ):
```
3
Lattice="-1.820 1.820 7.720 1.820 -1.820 7.720 1.820 1.820 -7.720" Properties=species:S:1:pos:R:3 pbc="T T T"
Eu 0.000 0.000 0.000
Dy 0.000 0.000 5.018
Dy 0.000 0.000 10.421
```

Values from the calculation:
M_tot: 7.140 μB per formula unit
V: 102.31 Å³ per cell
formation enthalpy at 0 K: 0.06 eV per atom
relative energy among the computed polymorphs: 0 meV/atom
total energy: -6.44 eV/atom

Compound: BaMnBe2
Source: Alexandria
Functional: GGA-PBE
Structure: optimized geometry

Structure (extended XYZ):
```
4
Lattice="3.245 0.000 0.000 0.000 3.744 0.000 -1.498 0.000 6.405" Properties=species:S:1:pos:R:3 pbc="T T T"
Ba 0.000 0.000 0.000
Mn 0.008 1.872 3.613
Be 1.628 1.872 2.051
Be 1.611 0.000 3.131
```

Values from the calculation:
M_tot: 3.036 μB per formula unit
V: 77.82 Å³ per cell
formation enthalpy at 0 K: 0.51 eV per atom
relative energy among the computed polymorphs: 213 meV/atom
total energy: -4.13 eV/atom

Compound: La2PRu
Source: Alexandria
Functional: GGA-PBE
Structure: optimized geometry

Structure (extended XYZ):
```
4
Lattice="-1.889 2.161 6.028 1.889 -2.161 6.028 1.889 2.161 -6.028" Properties=species:S:1:pos:R:3 pbc="T T T"
La 0.000 0.000 0.000
La 0.000 2.161 2.895
P 0.000 0.000 5.016
Ru 1.889 0.000 3.516
```

Values from the calculation:
M_tot: 0.000 μB per formula unit
V: 98.46 Å³ per cell
formation enthalpy at 0 K: -0.72 eV per atom
total energy: -6.86 eV/atom

Compound: NdPa3Cr4N12
Source: Alexandria
Functional: GGA-PBE
Structure: optimized geometry

Structure (extended XYZ):
```
20
Lattice="5.633 3.252 2.817 -5.633 3.252 2.817 0.000 -6.504 2.817" Properties=species:S:1:pos:R:3 pbc="T T T"
Nd 0.000 0.000 0.000
Pa -3.075 -1.179 2.817
Pa -3.075 1.179 5.634
Pa 0.517 3.252 2.817
Cr -2.552 -4.421 4.225
Cr 0.000 0.000 4.225
Cr -2.552 4.421 4.225
Cr 5.105 0.000 4.225
N -3.481 -2.961 4.182
N -4.422 0.000 4.225
N -0.823 -4.495 4.269
N -1.775 0.000 4.225
N -3.481 2.961 4.269
N 2.211 -3.830 4.225
N 0.887 -1.537 4.225
N -0.823 4.495 4.182
N 0.887 1.537 4.225
N 4.304 -1.534 4.182
N 2.211 3.830 4.225
N 4.304 1.534 4.269
```

Values from the calculation:
uncorrected formation energy: -0.691 eV per atom
M_tot: 6.010 μB per formula unit
V: 309.61 Å³ per cell
total energy: -9.27 eV/atom

Compound: K2CoNi
Source: Alexandria
Functional: GGA-PBE
Structure: optimized geometry

Structure (extended XYZ):
```
4
Lattice="3.426 -1.976 0.000 3.426 1.976 0.000 -2.109 0.000 9.325" Properties=species:S:1:pos:R:3 pbc="T T T"
K 0.000 0.000 0.000
K 0.004 0.000 4.894
Co 4.567 0.000 2.447
Ni 2.284 0.000 2.447
```

Values from the calculation:
M_tot: 2.042 μB per formula unit
V: 126.29 Å³ per cell
formation enthalpy at 0 K: 0.53 eV per atom
relative energy among the computed polymorphs: 0 meV/atom
total energy: -3.24 eV/atom

Compound: CaGa2Pt5
Source: Alexandria
Functional: GGA-PBE
Structure: optimized geometry

Structure (extended XYZ):
```
8
Lattice="-1.947 3.640 4.999 1.947 -3.640 4.999 1.947 3.640 -4.999" Properties=species:S:1:pos:R:3 pbc="T T T"
Ca 0.000 0.000 0.000
Ga 1.947 0.000 2.505
Ga 0.000 3.640 2.494
Pt 1.947 2.204 -1.436
Pt 1.947 2.204 1.436
Pt 0.000 3.640 0.000
Pt 0.000 1.436 3.563
Pt 0.000 1.436 6.435
```

Values from the calculation:
M_tot: 0.000 μB per formula unit
V: 141.72 Å³ per cell
formation enthalpy at 0 K: -0.69 eV per atom
total energy: -5.48 eV/atom

Compound: AlFePb2
Source: Alexandria
Functional: GGA-PBE
Structure: optimized geometry

Structure (extended XYZ):
```
4
Lattice="2.166 -2.448 0.000 2.166 2.448 0.000 0.000 0.000 8.593" Properties=species:S:1:pos:R:3 pbc="T T T"
Al 0.000 0.000 0.000
Fe 0.000 0.000 4.296
Pb 2.166 0.000 2.387
Pb 2.166 0.000 6.206
```

Values from the calculation:
M_tot: 2.653 μB per formula unit
V: 91.10 Å³ per cell
formation enthalpy at 0 K: 0.49 eV per atom
total energy: -4.41 eV/atom

Compound: SrHgBi2Au2
Source: Alexandria
Functional: GGA-PBE
Structure: optimized geometry

Structure (extended XYZ):
```
6
Lattice="-2.908 2.908 5.853 2.908 -2.908 5.853 2.908 2.908 -5.853" Properties=species:S:1:pos:R:3 pbc="T T T"
Sr 0.000 0.000 0.000
Hg 0.000 0.000 5.853
Bi 2.908 0.000 2.926
Bi 0.000 2.908 2.926
Au 0.000 0.000 3.077
Au 0.000 0.000 8.629
```

Values from the calculation:
M_tot: 0.000 μB per formula unit
V: 197.95 Å³ per cell
formation enthalpy at 0 K: -0.16 eV per atom
total energy: -2.88 eV/atom

Compound: Li4Ti3PdS8
Source: Alexandria
Functional: GGA-PBE
Structure: optimized geometry

Structure (extended XYZ):
```
16
Lattice="6.230 -3.487 0.000 6.230 3.487 0.000 -4.026 0.000 6.071" Properties=species:S:1:pos:R:3 pbc="T T T"
Li 0.000 0.000 0.000
Li 3.115 1.743 0.000
Li 3.115 -1.743 0.000
Li 6.230 0.000 0.000
Ti -2.013 0.000 3.036
Ti 1.102 1.743 3.036
Ti 1.102 -1.743 3.036
Pd 4.217 0.000 3.036
S 1.919 0.000 1.530
S 0.057 0.000 4.465
S 3.189 1.720 4.412
S 5.246 1.720 1.660
S 3.189 -1.720 4.412
S 5.246 -1.720 1.660
S 8.377 0.000 1.607
S 6.515 0.000 4.541
```

Values from the calculation:
uncorrected formation energy: -1.195 eV per atom
M_tot: 1.402 μB per formula unit
V: 263.77 Å³ per cell
total energy: -5.54 eV/atom

Compound: Cs2ScMoCl6
Source: Alexandria
Functional: GGA-PBE
Structure: optimized geometry

Structure (extended XYZ):
```
10
Lattice="0.000 5.104 5.104 5.104 0.000 5.104 5.104 5.104 0.000" Properties=species:S:1:pos:R:3 pbc="T T T"
Cs 2.552 2.552 2.552
Cs 7.656 7.656 7.656
Sc 0.000 0.000 0.000
Mo 5.104 5.104 5.104
Cl 5.104 5.104 2.571
Cl 5.104 2.571 5.104
Cl 7.637 5.104 5.104
Cl 2.571 5.104 5.104
Cl 5.104 7.637 5.104
Cl 5.104 5.104 7.637
```

Values from the calculation:
uncorrected formation energy: -1.432 eV per atom
M_tot: 1.000 μB per formula unit
V: 265.93 Å³ per cell
total energy: -4.43 eV/atom

Compound: RbAcI2
Source: Alexandria
Functional: GGA-PBE
Structure: optimized geometry

Structure (extended XYZ):
```
4
Lattice="4.171 0.000 0.000 0.000 4.171 0.000 0.000 0.000 8.952" Properties=species:S:1:pos:R:3 pbc="T T T"
Rb 0.000 0.000 0.000
Ac 0.000 0.000 4.476
I 2.086 2.086 2.508
I 2.086 2.086 6.444
```

Values from the calculation:
uncorrected formation energy: -1.032 eV per atom
M_tot: 0.001 μB per formula unit
V: 155.77 Å³ per cell
relative energy among the computed polymorphs: 71 meV/atom
total energy: -3.08 eV/atom

Compound: Zn4CdGa5
Source: Alexandria
Functional: GGA-PBE
Structure: optimized geometry

Structure (extended XYZ):
```
10
Lattice="2.950 0.000 0.000 0.000 2.950 0.000 0.000 0.000 20.257" Properties=species:S:1:pos:R:3 pbc="T T T"
Zn 0.000 0.000 1.968
Zn 0.000 0.000 5.915
Zn 0.000 0.000 14.342
Zn 0.000 0.000 18.289
Cd 0.000 0.000 10.129
Ga 1.475 1.475 0.000
Ga 1.475 1.475 3.933
Ga 1.475 1.475 7.830
Ga 1.475 1.475 12.427
Ga 1.475 1.475 16.324
```

Values from the calculation:
M_tot: 0.000 μB per formula unit
V: 176.25 Å³ per cell
formation enthalpy at 0 K: 0.06 eV per atom
relative energy among the computed polymorphs: 0 meV/atom
total energy: -2.05 eV/atom

Compound: KY2As
Source: Alexandria
Functional: GGA-PBE
Structure: optimized geometry

Structure (extended XYZ):
```
4
Lattice="3.925 0.000 0.000 0.000 3.925 0.000 0.000 0.000 9.113" Properties=species:S:1:pos:R:3 pbc="T T T"
K 0.000 0.000 0.000
Y 0.000 0.000 5.610
Y 1.963 1.963 3.437
As 1.963 1.963 6.433
```

Values from the calculation:
M_tot: 1.640 μB per formula unit
V: 140.42 Å³ per cell
formation enthalpy at 0 K: -0.44 eV per atom
total energy: -5.11 eV/atom

Compound: Er2ThWC4
Source: Alexandria
Functional: GGA-PBE
Structure: optimized geometry

Structure (extended XYZ):
```
16
Lattice="1.755 -6.078 0.000 1.755 6.078 0.000 0.000 0.000 12.169" Properties=species:S:1:pos:R:3 pbc="T T T"
Er 1.755 4.496 6.559
Er 1.755 4.496 11.694
Er 1.755 -4.496 0.475
Er 1.755 -4.496 5.610
Th 1.755 1.243 9.127
Th 1.755 -1.243 3.042
W 1.755 1.955 3.042
W 1.755 -1.955 9.127
C 1.755 5.259 9.127
C 1.755 3.205 1.565
C 1.755 3.205 4.519
C 1.755 0.000 0.000
C 1.755 0.000 6.084
C 1.755 -3.205 7.650
C 1.755 -3.205 10.603
C 1.755 -5.259 3.042
```

Values from the calculation:
M_tot: 0.000 μB per formula unit
V: 259.55 Å³ per cell
formation enthalpy at 0 K: -0.14 eV per atom
total energy: -8.44 eV/atom

Compound: GaSi2HS
Source: Alexandria
Functional: GGA-PBE
Structure: optimized geometry

Structure (extended XYZ):
```
5
Lattice="3.485 -1.937 0.000 3.485 1.937 0.000 -1.717 0.000 6.514" Properties=species:S:1:pos:R:3 pbc="T T T"
Ga 0.000 0.000 0.000
Si 1.385 0.000 2.988
Si 6.039 0.000 2.253
H 1.543 0.000 0.401
S 1.936 0.000 5.131
```

Values from the calculation:
M_tot: 0.000 μB per formula unit
V: 87.95 Å³ per cell
relative energy among the computed polymorphs: 233 meV/atom
total energy: -4.27 eV/atom

Compound: ScNbAsN2
Source: Alexandria
Functional: GGA-PBE
Structure: optimized geometry

Structure (extended XYZ):
```
5
Lattice="3.974 0.000 0.000 0.000 3.974 0.000 0.000 0.000 6.385" Properties=species:S:1:pos:R:3 pbc="T T T"
Sc 0.000 0.000 0.000
Nb 0.000 0.000 3.192
As 1.987 1.987 0.000
N 0.000 1.987 3.192
N 1.987 0.000 3.192
```

Values from the calculation:
uncorrected formation energy: 0.385 eV per atom
M_tot: 1.174 μB per formula unit
V: 100.83 Å³ per cell
total energy: -7.16 eV/atom

Compound: TaNbNi2Se
Source: Alexandria
Functional: GGA-PBE
Structure: optimized geometry

Structure (extended XYZ):
```
5
Lattice="4.486 0.000 0.000 0.000 4.486 0.000 0.000 0.000 4.764" Properties=species:S:1:pos:R:3 pbc="T T T"
Ta 0.000 0.000 0.000
Nb 2.243 2.243 2.382
Ni 0.000 2.243 2.382
Ni 2.243 0.000 2.382
Se 2.243 2.243 0.000
```

Values from the calculation:
uncorrected formation energy: 1.150 eV per atom
M_tot: 0.000 μB per formula unit
V: 95.86 Å³ per cell
total energy: -6.24 eV/atom

Compound: MgSb6Os
Source: Alexandria
Functional: GGA-PBE
Structure: optimized geometry

Structure (extended XYZ):
```
16
Lattice="6.810 -4.719 0.000 6.810 4.719 0.000 -6.809 0.000 7.138" Properties=species:S:1:pos:R:3 pbc="T T T"
Mg 3.405 2.359 0.000
Mg 3.405 -2.359 0.000
Sb 2.301 3.222 4.545
Sb 4.511 3.222 2.593
Sb -0.867 1.464 5.932
Sb 1.193 0.000 3.374
Sb 3.542 0.000 1.665
Sb 7.680 1.464 1.205
Sb -0.867 -1.464 5.932
Sb 3.271 0.000 5.473
Sb 5.619 0.000 3.763
Sb 7.680 -1.464 1.205
Sb 2.301 -3.222 4.545
Sb 4.511 -3.222 2.593
Os 0.001 2.359 3.569
Os 0.001 -2.359 3.569
```

Values from the calculation:
uncorrected formation energy: 0.014 eV per atom
M_tot: 0.000 μB per formula unit
V: 458.75 Å³ per cell
total energy: -4.68 eV/atom

Compound: MgGaAgPd
Source: Alexandria
Functional: GGA-PBE
Structure: optimized geometry

Structure (extended XYZ):
```
4
Lattice="0.000 3.196 3.196 3.196 0.000 3.196 3.196 3.196 0.000" Properties=species:S:1:pos:R:3 pbc="T T T"
Mg 0.000 0.000 0.000
Ga 3.196 3.196 3.196
Ag 1.598 1.598 1.598
Pd 4.794 4.794 4.794
```

Values from the calculation:
M_tot: 0.000 μB per formula unit
V: 65.31 Å³ per cell
formation enthalpy at 0 K: -0.42 eV per atom
total energy: -3.59 eV/atom

Compound: Tl2SnGeF6
Source: Alexandria
Functional: GGA-PBE
Structure: optimized geometry

Structure (extended XYZ):
```
10
Lattice="6.501 0.000 0.000 3.249 5.634 0.000 3.250 1.873 5.315" Properties=species:S:1:pos:R:3 pbc="T T T"
Tl 3.251 1.876 1.329
Tl 9.749 5.631 3.986
Sn 0.000 0.000 0.000
Ge 6.500 3.753 2.658
F 6.499 5.575 3.948
F 4.923 2.838 3.947
F 4.924 4.668 1.366
F 8.077 2.839 3.950
F 8.077 4.669 1.368
F 6.501 1.931 1.367
```

Values from the calculation:
uncorrected formation energy: -1.976 eV per atom
M_tot: 0.000 μB per formula unit
V: 194.69 Å³ per cell
total energy: -4.43 eV/atom

Compound: NbAlPd
Source: Alexandria
Functional: GGA-PBE
Structure: optimized geometry

Structure (extended XYZ):
```
6
Lattice="2.110 1.218 6.809 -2.110 1.218 6.809 0.000 -2.436 6.809" Properties=species:S:1:pos:R:3 pbc="T T T"
Nb 0.000 0.000 4.243
Nb 0.000 0.000 16.185
Al 0.000 0.000 7.549
Al 0.000 0.000 12.879
Pd 0.000 0.000 1.325
Pd 0.000 0.000 19.103
```

Values from the calculation:
M_tot: 0.000 μB per formula unit
V: 104.99 Å³ per cell
formation enthalpy at 0 K: -0.15 eV per atom
total energy: -6.49 eV/atom

Compound: HfMgIr
Source: Alexandria
Functional: GGA-PBE
Structure: optimized geometry

Structure (extended XYZ):
```
3
Lattice="0.000 3.151 3.151 3.151 0.000 3.151 3.151 3.151 0.000" Properties=species:S:1:pos:R:3 pbc="T T T"
Hf 0.000 0.000 0.000
Mg 3.151 3.151 3.151
Ir 1.575 1.575 1.575
```

Values from the calculation:
M_tot: 0.000 μB per formula unit
V: 62.57 Å³ per cell
formation enthalpy at 0 K: -0.46 eV per atom
total energy: -7.26 eV/atom

Compound: Ba3CdRh
Source: Alexandria
Functional: GGA-PBE
Structure: optimized geometry

Structure (extended XYZ):
```
10
Lattice="8.114 0.000 0.000 0.000 5.878 0.000 -1.253 0.000 8.623" Properties=species:S:1:pos:R:3 pbc="T T T"
Ba 0.000 0.000 0.000
Ba -0.079 2.939 2.811
Ba 1.768 0.000 5.293
Ba 3.560 0.000 1.145
Ba 3.632 2.939 7.504
Ba 5.708 0.000 4.767
Cd -0.138 2.939 6.728
Cd 3.539 2.939 3.149
Rh 2.021 2.939 0.742
Rh 4.138 0.000 7.208
```

Values from the calculation:
M_tot: 0.000 μB per formula unit
V: 411.25 Å³ per cell
formation enthalpy at 0 K: -0.18 eV per atom
relative energy among the computed polymorphs: 41 meV/atom
total energy: -2.98 eV/atom

Compound: NdHo4In3
Source: Alexandria
Functional: GGA-PBE
Structure: optimized geometry

Structure (extended XYZ):
```
8
Lattice="-1.742 4.380 7.668 1.742 -4.380 7.668 1.742 4.380 -7.668" Properties=species:S:1:pos:R:3 pbc="T T T"
Nd 0.000 0.000 0.000
Ho 1.742 -1.729 5.506
Ho 0.000 2.651 2.162
Ho 1.742 1.729 5.506
Ho 0.000 6.109 2.162
In 1.742 0.000 2.866
In 0.000 0.000 7.668
In 0.000 4.380 4.802
```

Values from the calculation:
M_tot: 0.453 μB per formula unit
V: 234.06 Å³ per cell
formation enthalpy at 0 K: -0.22 eV per atom
total energy: -4.13 eV/atom